(1)
Entry from OQMD: LiTmTeO after structural relaxation (PBE).

Cell lengths 3.990, 3.990, 9.325 Å; angles 90.00, 90.00, 90.00 degrees
Positions (direct):
Li (0.250, 0.750, 0.000)
Li (0.750, 0.250, 0.000)
Tm (0.250, 0.250, 0.391)
Tm (0.750, 0.750, 0.609)
Te (0.250, 0.250, 0.807)
Te (0.750, 0.750, 0.193)
O (0.250, 0.750, 0.500)
O (0.750, 0.250, 0.500)

energy above the lowest structure with this stoichiometry	0	meV/atom

(2)
Entry from OQMD: DyErS2 after structural relaxation (PBE).

Cell lengths 3.879, 3.879, 5.489 Å; angles 90.00, 90.00, 90.00 degrees
Positions (direct):
Dy (0.000, 0.000, 0.000)
Er (0.500, 0.500, 0.500)
S (0.000, 0.000, 0.500)
S (0.500, 0.500, 0.000)

(3)
Entry from OQMD: TbGdB2Ir2O2 after structural relaxation (PBE).

Cell lengths 3.827, 3.827, 7.277 Å; angles 90.00, 90.00, 90.00 degrees
Positions (direct):
Tb (0.000, 0.000, 0.000)
Gd (0.500, 0.500, 0.370)
B (0.000, 0.000, 0.532)
B (0.500, 0.500, 0.838)
Ir (0.000, 0.500, 0.686)
Ir (0.500, 0.000, 0.686)
O (0.000, 0.000, 0.322)
O (0.500, 0.500, 0.048)

(4)
Entry from OQMD: Li4GaPd2Pb after structural relaxation (PBE).

Cell lengths 4.422, 4.422, 6.360 Å; angles 90.00, 90.00, 90.00 degrees
Positions (direct):
Li (0.000, 0.000, 0.000)
Li (0.000, 0.500, 0.227)
Li (0.500, 0.000, 0.773)
Li (0.500, 0.500, 0.500)
Ga (0.500, 0.500, 0.000)
Pd (0.000, 0.500, 0.779)
Pd (0.500, 0.000, 0.221)
Pb (0.000, 0.000, 0.500)

(5)
Entry from OQMD: ErTm2In3Ag3 after structural relaxation (PBE).

Cell lengths 3.871, 7.805, 7.805 Å; angles 120.08, 90.00, 90.00 degrees
Positions (direct):
Er (0.000, 0.000, 0.000)
Tm (0.000, 0.404, 0.808)
Tm (0.000, 0.808, 0.404)
In (0.500, 0.138, 0.404)
In (0.500, 0.404, 0.138)
In (0.500, 0.670, 0.670)
Ag (0.000, 0.404, 0.404)
Ag (0.500, 0.071, 0.737)
Ag (0.500, 0.737, 0.071)

(6)
Entry from OQMD: TmAsN2O after structural relaxation (PBE).

Cell lengths 5.161, 5.384, 5.573 Å; angles 94.32, 112.32, 118.34 degrees
Positions (direct):
Tm (0.000, 0.000, 0.000)
Tm (0.447, 0.724, 0.212)
As (0.068, 0.587, 0.581)
As (0.419, 0.212, 0.646)
N (0.190, 0.389, 0.405)
N (0.484, 0.927, 0.830)
N (0.887, 0.533, 0.824)
N (0.967, 0.835, 0.411)
O (0.337, 0.355, 0.906)
O (0.503, 0.138, 0.354)

These records have energy values of -46.5, -25.3, -63.4, -28.6, -33.9, -70.6 eV for the cell shown, in the order they appear.